The following is a PBE calculation of a relaxed Ho4Te2Pd crystal, from the Alexandria database.

Lattice parameters (Å, degrees): 8.104 8.104 8.104 112.60 108.59 107.27
Sites, in units of the cell vectors:
Ho  0.180  0.223  0.543
Ho  0.180  0.637  0.957
Ho  0.219  0.183  0.036
Ho  0.354  0.817  0.536
Ho  0.646  0.183  0.464
Ho  0.781  0.817  0.964
Ho  0.820  0.363  0.043
Ho  0.820  0.777  0.457
Te  0.000  0.500  0.500
Te  0.500  0.000  0.000
Te  0.500  0.500  0.000
Te  0.500  0.500  0.500
Pd  0.101  0.851  0.250
Pd  0.899  0.149  0.750

ΔE_f (raw) = -0.878 eV per atom
Calculated total energy = -5.1331 eV/atom
ρ = 8.30 g/cm3
Crystal system = orthorhombic
DOS(E_F) = 5.8 states/eV/f.u.